Compound: ThV2NiO8
Source: the Alexandria database
Functional: PBE with a Hubbard U
Structure: optimized geometry

```
data_ThV2NiO8
_chemical_formula_sum 'Th1 V2 Ni1 O8'
_symmetry_space_group_name_H-M 'P -3 m 1'
_symmetry_Int_Tables_number 164
_symmetry_space_group_name_Hall '-P 3 2"'
_cell_length_a 5.8403
_cell_length_b 5.8403
_cell_length_c 6.0281
_cell_angle_alpha 90.00
_cell_angle_beta 90.00
_cell_angle_gamma 120.00
loop_
_atom_site_label
_atom_site_type_symbol
_atom_site_fract_x
_atom_site_fract_y
_atom_site_fract_z
Th1 Th 0.0000 0.0000 0.0000
V1 V 0.3333 0.6667 0.6425
Ni1 Ni 0.0000 0.0000 0.5000
O1 O 0.1630 0.3259 0.7304
O2 O 0.3333 0.6667 0.3731
```

E_tot = -7.519 eV per atom
theoretical density = 4.85 g cm⁻³